1.
The following is a DFT calculation (PBE-GGA) of a geometry-optimized Fe2PtRh structure.

The structure in extended XYZ format:
```
4
Lattice="1.365 0.788 8.573 -1.365 0.788 8.573 0.000 -1.576 8.573" Properties=species:S:1:pos:R:3 pbc="T T T"
Fe 0.000 0.000 0.000
Fe 0.000 0.000 6.582
Pt 0.000 0.000 19.274
Rh 0.000 0.000 13.119
```

Summary:
total magnetization: 6.879 μB/cell
energy of formation: -0.031 eV/atom

---

2.
The following is a DFT calculation (PBE-GGA) of a geometry-optimized Ti3AlIn structure.

The structure in extended XYZ format:
```
10
Lattice="4.720 0.000 0.000 0.000 5.629 0.000 0.000 0.000 7.219" Properties=species:S:1:pos:R:3 pbc="T T T"
Ti 1.180 0.121 1.679
Ti 1.180 2.694 1.679
Ti 1.180 4.222 4.029
Ti 3.540 1.407 3.190
Ti 3.540 2.935 5.541
Ti 3.540 5.508 5.541
Al 1.180 4.222 6.578
Al 3.540 1.407 0.642
In 1.180 1.407 4.735
In 3.540 4.222 2.484
```

Summary:
energy above the lowest structure with this stoichiometry: 0.000 eV per atom
total magnetization: 0.001 μB/cell
energy of formation: 0.043 eV/atom

---

3.
The following is a DFT calculation (PBE-GGA) of a geometry-optimized K2LaCr structure.

The structure in extended XYZ format:
```
4
Lattice="1.857 1.072 13.450 -1.857 1.072 13.450 0.000 -2.144 13.450" Properties=species:S:1:pos:R:3 pbc="T T T"
K 0.000 0.000 9.708
K 0.000 0.000 30.643
La 0.000 0.000 0.000
Cr 0.000 0.000 20.176
```

Summary:
energy above the lowest structure with this stoichiometry: 0.289 eV per atom
total magnetization: 4.893 μB/cell
energy of formation: 0.832 eV/atom

---

4.
The following is a DFT calculation (PBE-GGA) of a geometry-optimized Al3Ga6Ag structure.

The structure in extended XYZ format:
```
20
Lattice="4.165 -7.509 0.000 4.165 7.509 0.000 0.000 0.000 6.170" Properties=species:S:1:pos:R:3 pbc="T T T"
Al 4.165 5.959 3.085
Al 2.684 1.778 2.248
Al 2.684 -1.778 5.333
Al 5.646 1.778 2.248
Al 5.646 -1.778 5.333
Al 4.165 -5.959 0.000
Ga 2.597 4.378 1.358
Ga 1.453 0.351 4.229
Ga 1.453 -0.351 1.144
Ga 4.165 3.548 3.896
Ga 5.732 4.378 1.358
Ga 4.165 0.393 4.312
Ga 4.165 -0.393 1.226
Ga 2.597 -4.378 4.443
Ga 4.165 -3.548 0.811
Ga 6.877 0.351 4.229
Ga 6.877 -0.351 1.144
Ga 5.732 -4.378 4.443
Ag 4.165 2.420 0.078
Ag 4.165 -2.420 3.163
```

Summary:
total magnetization: 0.000 μB/cell
energy of formation: 0.067 eV/atom

---

5.
The following is a DFT calculation (PBE-GGA) of a geometry-optimized KCd4Br structure.

The structure in extended XYZ format:
```
6
Lattice="0.000 4.532 4.532 4.532 0.000 4.532 4.532 4.532 0.000" Properties=species:S:1:pos:R:3 pbc="T T T"
K 0.000 0.000 0.000
Cd 3.405 3.405 3.405
Cd 5.660 5.660 3.405
Cd 5.660 3.405 5.660
Cd 3.405 5.660 5.660
Br 6.799 6.799 6.799
```

Summary:
formation energy from raw total energies: -214 meV/atom
total magnetization: 0.000 μB/cell

---

6.
The following is a DFT calculation (PBE-GGA) of a geometry-optimized CaRh2Br structure.

The structure in extended XYZ format:
```
4
Lattice="3.840 0.000 0.000 0.000 3.840 0.000 0.000 0.000 5.540" Properties=species:S:1:pos:R:3 pbc="T T T"
Ca 0.000 0.000 0.000
Rh 0.000 1.920 2.770
Rh 1.920 0.000 2.770
Br 1.920 1.920 0.000
```

Summary:
energy above the lowest structure with this stoichiometry: 0.283 eV per atom
formation energy from raw total energies: -30 meV/atom
total magnetization: 2.148 μB/cell

---

7.
The following is a DFT calculation (PBE-GGA) of a geometry-optimized K2RbTlCo structure.

The structure in extended XYZ format:
```
5
Lattice="6.683 0.000 0.000 0.000 6.683 0.000 0.000 0.000 6.911" Properties=species:S:1:pos:R:3 pbc="T T T"
K 0.000 3.341 0.000
K 3.341 0.000 0.000
Rb 0.000 0.000 3.456
Tl 0.000 0.000 0.000
Co 3.341 3.341 3.456
```

Summary:
total magnetization: 2.500 μB/cell
energy of formation: 0.868 eV/atom

---

8.
The following is a DFT calculation (PBE-GGA) of a geometry-optimized TiNbCd2Rh structure.

The structure in extended XYZ format:
```
5
Lattice="5.010 0.000 0.000 0.000 5.010 0.000 0.000 0.000 4.737" Properties=species:S:1:pos:R:3 pbc="T T T"
Ti 0.000 0.000 0.000
Nb 2.505 2.505 0.000
Cd 0.000 2.505 2.369
Cd 2.505 0.000 2.369
Rh 2.505 2.505 2.369
```

Summary:
total magnetization: 0.006 μB/cell
energy of formation: 0.814 eV/atom